YPt4W after structural relaxation, computed with GGA-PBE.

Unit cell a=5.324 b=5.324 c=5.324 alpha=60.00 beta=60.00 gamma=60.00
Each line ends with the local moment (μB).
Fractional coordinates of all 6 atoms:
Y (0.000, 0.000, 0.000)  0.12
Pt (0.873, 0.376, 0.376)  0.04
Pt (0.376, 0.376, 0.873)  0.04
Pt (0.376, 0.873, 0.376)  0.04
Pt (0.376, 0.376, 0.376)  0.04
W (0.750, 0.750, 0.750)  1.42

Its magnetization is 0.3527 μB/atom. The calculation puts the density of states at the Fermi level at 1.204 states/eV per atom. Its final energy is -45.24 eV/cell. For the energy of formation, the calculation gives -0.28 eV/atom.